The following is a PBE calculation of an optimized crystal structure of LaYZnCu, from Alexandria via LeMat-Bulk.

Structure (extended XYZ):
```
4
Lattice="-0.609 -4.947 1.238 3.778 -2.534 2.385 -0.534 -1.368 4.922" Properties=species:S:1:pos:R:3 pbc="T T T"
Y 0.000 0.000 0.000
Zn 0.659 -2.212 2.136
Cu 1.976 -6.637 6.409
La 1.317 -4.425 4.273
```

The formation energy comes out at -1.0 eV per formula unit. The calculation puts the polymorph energy (0 for the lowest one) at 0.0152 eV/atom. The final energy is -4.4281 eV/atom. Its symmetry is F-43m (216).